Record 1
{
  "formula": "AsRuAu2",
  "functional": "PBE-GGA",
  "state": "relaxed",
  "lattice": [[-4.002, -5.988, 1.948], [3.050, -3.863, -5.608], [1.431, -5.691, -0.266]],
  "species": ["Au", "Au", "Au", "Au", "As", "As", "Ru", "Ru"],
  "fractional_positions": [[0.140, 0.625, 0.250], [0.610, 0.125, 0.250], [0.875, 0.860, 0.750], [0.375, 0.390, 0.750], [0.500, 0.500, 0.000], [0.250, 0.750, 0.500], [0.750, 0.250, 0.500], [0.000, 0.000, 0.000]],
  "m_tot_mub_per_fu": 0.00
}

Record 2
{
  "formula": "AsRu3Au",
  "functional": "PBE-GGA",
  "state": "relaxed",
  "lattice": [[-3.693, -0.506, -2.565], [0.119, -4.468, 0.709], [-2.612, 0.511, 3.660]],
  "species": ["Au", "As", "Ru", "Ru", "Ru"],
  "fractional_positions": [[0.500, 0.500, 0.500], [0.000, 0.000, 0.000], [0.500, 0.000, 0.000], [0.000, 0.000, 0.500], [0.000, 0.500, 0.000]],
  "de_polymorph_ev_per_atom": 0.000,
  "m_tot_mub_per_fu": 2.94
}

Record 3
{
  "formula": "AsRuAu",
  "functional": "PBE-GGA",
  "state": "relaxed",
  "lattice": [[4.061, 0.000, 0.000], [-2.031, 3.517, 0.000], [0.000, 0.000, 3.590]],
  "species": ["Au", "As", "Ru"],
  "fractional_positions": [[0.333, 0.667, 0.317], [0.000, 0.000, 0.899], [0.667, 0.333, 0.784]],
  "de_polymorph_ev_per_atom": 0.008,
  "m_tot_mub_per_fu": 0.00
}

Record 4
{
  "formula": "AsRuAu3",
  "functional": "PBE-GGA",
  "state": "relaxed",
  "lattice": [[-4.904, -0.788, -0.650], [1.022, -3.860, -3.025], [-0.025, -3.094, 3.940]],
  "species": ["Au", "Au", "Au", "Ru", "As"],
  "fractional_positions": [[0.000, 0.500, 0.000], [0.000, 0.000, 0.500], [0.500, 0.000, 0.000], [0.000, 0.000, 0.000], [0.500, 0.500, 0.500]],
  "de_polymorph_ev_per_atom": 0.304,
  "m_tot_mub_per_fu": 2.77
}

Record 5
{
  "formula": "AsRuAu2",
  "functional": "PBE-GGA",
  "state": "relaxed",
  "lattice": [[9.232, 0.002, 0.001], [8.750, 2.943, 0.001], [8.750, 1.433, 2.571]],
  "species": ["As", "Au", "Au", "Ru"],
  "fractional_positions": [[0.763, 0.763, 0.763], [0.999, 0.999, 0.999], [0.245, 0.245, 0.245], [0.493, 0.493, 0.493]],
  "m_tot_mub_per_fu": 0.01
}

Record 6
{
  "formula": "AsRuAu2",
  "functional": "PBE-GGA",
  "state": "relaxed",
  "lattice": [[-0.940, -1.652, 2.390], [-1.358, -3.235, -2.770], [4.525, -2.150, 0.293]],
  "species": ["Ru", "Au", "Au", "As"],
  "fractional_positions": [[0.500, 0.000, 0.500], [0.500, 0.500, 0.000], [0.000, 0.000, 0.000], [0.000, 0.500, 0.500]],
  "m_tot_mub_per_fu": 0.84
}

no.,DFT formation energy (meV per atom)
1,392
2,977
3,118
4,1318
5,114
6,347